This record from Alexandria via LeMat-Bulk describes an optimized crystal structure of Na2CuNi. The functional is PBE-GGA.

POSCAR file:
```
Na2CuNi
1.0
0.000 3.315 3.315
3.315 0.000 3.315
3.315 3.315 0.000
Na Cu Ni
2 1 1
Cartesian
1.658 1.658 1.658 Na
4.973 4.973 4.973 Na
0.000 0.000 0.000 Cu
3.315 3.315 3.315 Ni
```

offset from the most stable computed form: 0 kJ/mol of formula units
total moment: 0.0 μB/f.u.
formation energy from the elements: 2.4 eV per formula unit
space-group type: No. 225
ρ: 3.834 Mg/m³